Material: BaTl2TcF8
Method: DFT, PBE-GGA
State: relaxed

Output
- Total moment: 3.00 μB/cell
- VASP energy: -5.13 eV/atom
- Crystal system: monoclinic
- Formation energy from raw total energies: -2469 meV/atom

Lattice parameters (Å, degrees): 4.6340 7.9338 6.4844 90.00 94.62 90.00
With the nearest neighbours (Å) after each atom.
Space group P2/m (No. 10)
Asymmetric unit:
Ba  0.0000  0.0000  0.0000 [1 per cell]  8 F 2.65-2.91
Tl  0.5000  0.2592  0.5000 [2 per cell]  6 F 2.67-2.90
Tc  0.0000  0.5000  0.0000 [1 per cell]  6 F 1.95-1.99
F  0.1036  0.3112  0.8174 [4 per cell]  1 Tc 1.99
F  0.3617  0.5000  0.1759 [2 per cell]  1 Tc 1.95
F  0.4940  0.0000  0.2372 [2 per cell]  2 Ba 2.65-2.91, 2 Tl 2.67

---

Material: CuAuSe2Br
Method: DFT, PBE-GGA
State: relaxed

Output
- Total moment: 0.46 μB/cell
- VASP energy: -2.62 eV/atom
- Crystal system: tetragonal
- Formation energy from raw total energies: 587 meV/atom

Lattice parameters (Å, degrees): 4.8345 4.8345 4.9371 90.00 90.00 90.00
With the nearest neighbours (Å) after each atom.
Space group P4/mmm (No. 123)
Asymmetric unit:
Cu  0.0000  0.0000  0.0000 [1 per cell]  4 Se 2.42, 2 Br 2.47
Au  0.5000  0.5000  0.5000 [1 per cell]  4 Br 3.42, 8 Se 3.45
Se  0.0000  0.5000  0.0000 [2 per cell]  2 Cu 2.42
Br  0.0000  0.0000  0.5000 [1 per cell]  2 Cu 2.47

---

Material: CoOsI2N
Method: DFT, PBE-GGA
State: relaxed

Output
- Total moment: 2.26 μB/cell
- VASP energy: -5.03 eV/atom
- Crystal system: tetragonal
- Formation energy from raw total energies: 919 meV/atom

Lattice parameters (Å, degrees): 5.5283 5.5283 3.7148 90.00 90.00 90.00
With the nearest neighbours (Å) after each atom.
Space group P4/mmm (No. 123)
Asymmetric unit:
Co  0.0000  0.0000  0.0000 [1 per cell]  8 I 3.33, 2 Co 3.71
Os  0.5000  0.5000  0.5000 [1 per cell]  2 N 1.86
I  0.0000  0.5000  0.5000 [2 per cell]  2 Os 2.76
N  0.5000  0.5000  0.0000 [1 per cell]  2 Os 1.86

---

Material: SrLiBeAu2
Method: DFT, PBE-GGA
State: relaxed

Output
- Total moment: 0.00 μB/cell
- VASP energy: -3.13 eV/atom
- Crystal system: tetragonal
- Energy of formation from the pure elements: -0.3567 eV per atom

Lattice parameters (Å, degrees): 4.6809 4.6809 4.6504 90.00 90.00 90.00
With the nearest neighbours (Å) after each atom.
Space group P4/mmm (No. 123)
Asymmetric unit:
Sr  0.0000  0.0000  0.0000 [1 per cell]  8 Au 3.30, 4 Li 3.31
Li  0.5000  0.5000  0.0000 [1 per cell]  2 Be 2.33
Be  0.5000  0.5000  0.5000 [1 per cell]  2 Li 2.33, 4 Au 2.34
Au  0.0000  0.5000  0.5000 [2 per cell]  2 Be 2.34

---

Material: Li2Ca2CdPd5
Method: DFT, PBE-GGA
State: relaxed

Output
- Total moment: 0.00 μB/cell
- VASP energy: -4.03 eV/atom
- Crystal system: tetragonal
- Energy of formation from the pure elements: -0.5558 eV per atom

Lattice parameters (Å, degrees): 9.6045 9.6045 3.8066 90.00 90.00 90.00
With the nearest neighbours (Å) after each atom.
Space group P4/mbm (No. 127)
Asymmetric unit:
Li  0.1179  0.3821  0.0000 [4 per cell]  6 Pd 2.49-2.57, 1 Ca 2.74
Ca  0.1802  0.6802  0.0000 [4 per cell]  3 Li 2.74-2.93
Cd  0.0000  0.0000  0.0000 [2 per cell]  8 Pd 2.85
Pd  0.0000  0.5000  0.5000 [2 per cell]  4 Li 2.49
Pd  0.0649  0.2109  0.5000 [8 per cell]  2 Li 2.57, 1 Pd 2.85, 2 Cd 2.85

---

Material: Na3MgTc
Method: DFT, PBE-GGA
State: relaxed

Output
- Total moment: 3.28 μB/cell
- VASP energy: -1.98 eV/atom
- Crystal system: cubic
- Energy of formation from the pure elements: 1.2002 eV per atom

Lattice parameters (Å, degrees): 5.7937 5.7937 5.7937 90.00 90.00 90.00
With the nearest neighbours (Å) after each atom.
Space group Pm-3m (No. 221)
Asymmetric unit:
Na  0.0000  0.0000  0.5000 [3 per cell]  2 Tc 2.90
Mg  0.5000  0.5000  0.5000 [1 per cell]  12 Na 4.10
Tc  0.0000  0.0000  0.0000 [1 per cell]  6 Na 2.90

---

Material: Ca2AsW
Method: DFT, PBE-GGA
State: relaxed

Output
- Total moment: 3.93 μB/cell
- VASP energy: -4.82 eV/atom
- Crystal system: cubic
- Energy of formation from the pure elements: 0.5784 eV per atom

Lattice parameters (Å, degrees): 6.9425 6.9425 6.9425 90.00 90.00 90.00
With the nearest neighbours (Å) after each atom.
Space group F-43m (No. 216)
Asymmetric unit:
Ca  0.0000  0.0000  0.0000 [4 per cell]  4 As 3.01, 4 Ca 3.01
Ca  0.2500  0.2500  0.2500 [4 per cell]  4 Ca 3.01, 4 W 3.01
As  0.2500  0.2500  0.7500 [4 per cell]  4 W 3.01, 4 Ca 3.01
W  0.0000  0.0000  0.5000 [4 per cell]  4 Ca 3.01, 4 As 3.01

---

Material: Th3Mn5H12
Method: DFT, PBE-GGA
State: relaxed

Output
- Total moment: 63.52 μB/cell
- VASP energy: -5.52 eV/atom
- Crystal system: cubic

Lattice parameters (Å, degrees): 11.6548 11.6548 11.6548 90.00 90.00 90.00
With the nearest neighbours (Å) after each atom.
Space group Ia-3d (No. 230)
Asymmetric unit:
Th  0.0000  0.2500  0.1250 [24 per cell]  8 H 2.38
Mn  0.0000  0.0000  0.0000 [16 per cell]  6 H 1.71
Mn  0.0000  0.2500  0.3750 [24 per cell]  4 H 1.81
H  0.0357  0.0493  0.6333 [96 per cell]  2 Mn 1.71-1.81

---

Material: Pr3PaTl3Te8
Method: DFT, PBE-GGA
State: relaxed

Output
- Total moment: 3.14 μB/cell
- VASP energy: -4.75 eV/atom
- Crystal system: trigonal
- Formation energy from raw total energies: -1017 meV/atom

Lattice parameters (Å, degrees): 9.1055 9.1055 24.7348 90.00 90.00 120.00
With the nearest neighbours (Å) after each atom.
Space group R-3m (No. 166, hexagonal axes)
Asymmetric unit:
Pr  0.0000  0.5000  0.0000 [9 per cell]  6 Te 3.21
Pa  0.0000  0.0000  0.0000 [3 per cell]  6 Te 3.11
Tl  0.0000  0.5000  0.5000 [9 per cell]  6 Te 3.48-3.49
Te  0.0000  0.0000  0.2590 [6 per cell]  3 Pr 3.21, 3 Tl 3.48
Te  0.0105  0.5053  0.7387 [18 per cell]  1 Pa 3.11, 2 Pr 3.21

---

Material: Ca2AcRh3
Method: DFT, PBE-GGA
State: relaxed

Output
- Total moment: 0.00 μB/cell
- VASP energy: -5.46 eV/atom
- Crystal system: trigonal
- Energy of formation from the pure elements: -0.4274 eV per atom

Lattice parameters (Å, degrees): 4.9705 4.9705 6.1061 90.00 90.00 120.00
With the nearest neighbours (Å) after each atom.
Space group P-3m1 (No. 164)
Asymmetric unit:
Ca  0.3333  0.6667  0.1485 [2 per cell]  8 Rh 2.99-3.12
Ac  0.0000  0.0000  0.5000 [1 per cell]  8 Rh 3.03-3.05
Rh  0.0000  0.0000  0.0000 [1 per cell]  6 Ca 3.01, 2 Ac 3.05
Rh  0.3333  0.6667  0.6596 [2 per cell]  5 Ca 2.99-3.12, 3 Ac 3.03

---

Material: Tl2GeB
Method: DFT, PBE-GGA
State: relaxed

Output
- Total moment: 0.00 μB/cell
- VASP energy: -2.93 eV/atom
- Crystal system: cubic
- Energy of formation from the pure elements: 1.0790 eV per atom

Lattice parameters (Å, degrees): 7.1031 7.1031 7.1031 90.00 90.00 90.00
With the nearest neighbours (Å) after each atom.
Space group Fm-3m (No. 225)
Asymmetric unit:
Tl  0.2500  0.2500  0.2500 [8 per cell]  4 Ge 3.08, 4 B 3.08
Ge  0.0000  0.0000  0.0000 [4 per cell]  8 Tl 3.08
B  0.0000  0.0000  0.5000 [4 per cell]  8 Tl 3.08

---

Material: TbFe4B4
Method: DFT, PBE-GGA
State: relaxed

Output
- Total moment: 1.61 μB/cell
- VASP energy: -7.72 eV/atom
- Crystal system: tetragonal
- Energy of formation from the pure elements: -0.4803 eV per atom

Lattice parameters (Å, degrees): 6.9545 6.9545 3.8151 90.00 90.00 90.00
With the nearest neighbours (Å) after each atom.
Space group P4_2/n (No. 86, origin choice 2)
Asymmetric unit:
Tb  0.2500  0.2500  0.2500 [2 per cell]  8 B 2.73-2.82, 4 Fe 2.86
Fe  0.1179  0.6355  0.1410 [8 per cell]  4 B 2.00-2.07
B  0.0502  0.9166  0.1436 [8 per cell]  1 B 1.74